No. 1
Below is a geometry-optimized Fe8Te structure, with properties calculated at the PBE level.

```
9
Lattice="-3.779 3.779 2.001 3.779 -3.779 2.001 3.779 3.779 -2.001" Properties=species:S:1:pos:R:3 pbc="T T T"
Fe 2.584 0.000 0.000
Fe 4.974 0.000 0.000
Fe 2.488 2.488 0.000
Fe 1.291 -1.291 2.001
Fe 0.000 2.584 0.000
Fe 0.000 4.974 0.000
Fe -1.291 1.291 2.001
Fe 1.291 1.291 2.001
Te 0.000 0.000 0.000
```

Summary:
energy relative to the elements, uncorrected: 182.0 meV/atom
D(E_F): 8.4 states/eV per cell
space-group type: I4/mmm, No. 139
energy: -69.2 eV per cell

No. 2
Below is a geometry-optimized TlTcTe2I structure, with properties calculated at the PBE level.

```
5
Lattice="5.201 0.000 0.000 0.000 5.201 0.000 0.000 0.000 6.001" Properties=species:S:1:pos:R:3 pbc="T T T"
Tl 0.000 0.000 0.000
Tc 2.601 2.601 3.001
Te 0.000 2.601 3.001
Te 2.601 0.000 3.001
I 2.601 2.601 0.000
```

Summary:
energy relative to the elements, uncorrected: 166.7 meV/atom
energy relative to the lowest polymorph listed for this composition: 0.0 meV/atom
D(E_F): 4.1 states/eV per cell
space-group type: P4/mmm, No. 123
energy: -19.7 eV per cell

No. 3
Below is a geometry-optimized VTcP2 structure, with properties calculated at the PBE level.

```
8
Lattice="-2.525 2.525 5.883 2.525 -2.525 5.883 2.525 2.525 -5.883" Properties=species:S:1:pos:R:3 pbc="T T T"
V 0.000 0.000 0.000
V 0.000 2.525 2.941
Tc 2.525 0.000 2.941
Tc 0.000 0.000 5.883
P 1.263 -1.199 4.412
P 1.326 1.263 1.471
P 1.263 3.724 -1.471
P 1.199 1.263 7.353
```

Summary:
energy relative to the lowest polymorph listed for this composition: 652.4 meV/atom
D(E_F): 9.3 states/eV per cell
ΔH_f (0 K): 0.001 eV/atom
space-group type: I-42d, No. 122
energy: -60.6 eV per cell

No. 4
Below is a geometry-optimized Nd2Y4Ho structure, with properties calculated at the PBE level.

```
7
Lattice="8.497 -1.789 0.000 8.497 1.789 0.000 -4.425 0.000 7.638" Properties=species:S:1:pos:R:3 pbc="T T T"
Nd -0.722 0.000 3.297
Nd 13.292 0.000 4.341
Y 1.895 0.000 5.409
Y 5.353 0.000 1.180
Y 7.217 0.000 6.459
Y 10.675 0.000 2.229
Ho 0.000 0.000 0.000
```

Summary:
energy relative to the lowest polymorph listed for this composition: 0.0 meV/atom
D(E_F): 12.2 states/eV per cell
ΔH_f (0 K): 0.046 eV/atom
space-group type: C2/m, No. 12
energy: -39.6 eV per cell

No. 5
Below is a geometry-optimized La4Pb2C structure, with properties calculated at the PBE level.

```
14
Lattice="7.031 0.000 0.000 0.000 7.137 0.000 -3.496 0.000 9.216" Properties=species:S:1:pos:R:3 pbc="T T T"
La 1.000 1.784 0.540
La -0.861 0.007 6.758
La -0.861 3.561 6.758
La 0.708 5.353 3.219
La 2.827 1.784 5.997
La 4.396 3.576 2.458
La 4.396 7.130 2.458
La 2.536 5.353 8.676
Pb 0.088 1.784 3.869
Pb 2.287 5.353 0.359
Pb 1.249 1.784 8.858
Pb 3.448 5.353 5.347
C -2.252 1.784 7.370
C 5.787 5.353 1.846
```

Summary:
energy relative to the lowest polymorph listed for this composition: 22.7 meV/atom
D(E_F): 3.2 states/eV per cell
ΔH_f (0 K): -0.437 eV/atom
space-group type: P2_1/m, No. 11
energy: -78.8 eV per cell

No. 6
Below is a geometry-optimized Na4GeI6 structure, with properties calculated at the PBE level.

```
22
Lattice="7.133 -4.324 0.000 7.133 4.324 0.000 -6.481 0.000 14.652" Properties=species:S:1:pos:R:3 pbc="T T T"
Na 3.893 3.346 7.326
Na 7.133 3.058 4.315
Na 2.057 1.404 12.730
Na 6.661 1.404 9.942
Na 5.298 -1.404 5.404
Na 7.133 -3.346 0.000
Na 9.901 -1.404 2.616
Na 3.893 -3.058 11.641
Ge -0.232 1.602 9.165
Ge 3.009 -1.602 1.839
I 3.274 0.777 0.130
I 4.454 1.496 4.799
I 3.824 2.611 10.464
I 7.494 2.210 1.143
I 0.033 -0.777 7.456
I 1.214 -1.496 12.125
I 9.820 1.221 4.520
I 11.032 0.689 0.186
I 4.253 -2.210 8.469
I 7.792 -0.689 7.512
I 7.064 -2.611 3.138
I 6.580 -1.221 11.846
```

Summary:
energy relative to the elements, uncorrected: -944.2 meV/atom
D(E_F): 0.0 states/eV per cell
space-group type: Cc, No. 9
energy: -59.2 eV per cell

No. 7
Below is a geometry-optimized Ca3InRe structure, with properties calculated at the PBE level.

```
5
Lattice="5.492 0.000 0.000 0.000 5.492 0.000 0.000 0.000 5.492" Properties=species:S:1:pos:R:3 pbc="T T T"
Ca 0.000 0.000 2.746
Ca 0.000 2.746 0.000
Ca 2.746 0.000 0.000
In 2.746 2.746 2.746
Re 0.000 0.000 0.000
```

Summary:
energy relative to the lowest polymorph listed for this composition: 0.0 meV/atom
D(E_F): 2.1 states/eV per cell
ΔH_f (0 K): 0.619 eV/atom
space-group type: Pm-3m, No. 221
energy: -18.1 eV per cell

No. 8
Below is a geometry-optimized Cs2HRu structure, with properties calculated at the PBE level.

```
8
Lattice="-3.116 3.116 7.063 3.116 -3.116 7.063 3.116 3.116 -7.063" Properties=species:S:1:pos:R:3 pbc="T T T"
Cs 4.674 1.411 -1.766
Cs 1.411 1.558 1.766
Cs -1.558 1.705 5.297
Cs 1.705 1.558 8.829
H 3.116 0.000 3.531
H 0.000 0.000 7.063
Ru 0.000 0.000 0.000
Ru 0.000 3.116 3.531
```

Summary:
energy relative to the lowest polymorph listed for this composition: 0.0 meV/atom
D(E_F): 10.3 states/eV per cell
space-group type: I-42d, No. 122
energy: -18.6 eV per cell